No. 1
## LaCd2Fe (meta-GGA SCAN)

Data for a PBEsol-optimized structure of LaCd2Fe.

- Calculated formation energy: 0.41 eV per formula unit

Lattice parameters (Å, degrees): 3.3948 4.9803 5.2736 90.00 109.38 90.00
Last column: nearest neighbours and their distance in Å.
Atoms (fractional coordinates):
Cd 0.1447 0.0000 0.7828  3 Cd 2.72-2.81, 2 Fe 2.84
Cd 0.8553 0.0000 0.2172  3 Cd 2.72-2.81, 2 Fe 2.84
Fe 0.5000 0.5000 0.0000  2 La 2.64, 4 Cd 2.84
La 0.5000 0.5000 0.5000  2 Fe 2.64

No. 2
## CaTlRu (meta-GGA SCAN)

Data for a PBEsol-optimized structure of CaTlRu.

- Calculated formation energy: 2.89 eV per formula unit

Lattice parameters (Å, degrees): 4.6582 4.6582 4.6582 60.00 60.00 60.00
Last column: nearest neighbours and their distance in Å.
Atoms (fractional coordinates):
Ru 0.0000 0.0000 0.0000  4 Ca 2.85
Tl 0.5000 0.5000 0.5000  4 Ca 2.85
Ca 0.2500 0.2500 0.2500  4 Tl 2.85, 4 Ru 2.85

No. 3
## SrCa2 (meta-GGA SCAN)

Data for a PBEsol-optimized structure of SrCa2.

- Energy above the most stable polymorph in this dataset: 0.01 eV per formula unit
- Calculated formation energy: 0.05 eV per formula unit

Lattice parameters (Å, degrees): 3.9737 7.6107 9.4926 105.77 90.00 105.13
Last column: nearest neighbours and their distance in Å.
Atoms (fractional coordinates):
Sr 0.1893 0.3786 0.1402  8 Ca 3.94-4.01, 4 Sr 3.97-4.11
Sr 0.8107 0.6214 0.8598  8 Ca 3.94-4.01, 4 Sr 3.97-4.11
Ca 0.5291 0.0582 0.7941  7 Ca 3.87-4.23, 5 Sr 3.97-4.01
Ca 0.8622 0.7245 0.4740  9 Ca 3.87-4.00, 3 Sr 3.94-3.99
Ca 0.1378 0.2755 0.5260  9 Ca 3.87-4.00, 3 Sr 3.94-3.99
Ca 0.4709 0.9418 0.2059  7 Ca 3.87-4.23, 5 Sr 3.97-4.01

No. 4
## TiSe2Cl (meta-GGA SCAN)

Data for a PBEsol-optimized structure of TiSe2Cl.

- ΔE_f (raw): -0.50 eV/atom
- Energy above the most stable polymorph in this dataset: 0.00 eV per formula unit

Lattice parameters (Å, degrees): 6.4624 6.9798 6.4624 62.42 90.00 117.58
Last column: nearest neighbours and their distance in Å.
Atoms (fractional coordinates):
Cl 0.2500 0.5000 0.2500  4 Se 2.95
Cl 0.5000 0.0000 0.5000  4 Se 2.95
Se 0.6972 0.7500 0.3750  2 Ti 2.38
Se 0.0528 0.7500 0.8750  2 Ti 2.38
Se 0.8750 0.2500 0.6972  2 Ti 2.38
Se 0.3750 0.2500 0.0528  2 Ti 2.38
Ti 0.7500 0.5000 0.7500  4 Se 2.38
Ti 0.0000 0.0000 0.0000  4 Se 2.38

No. 5
## Li2FeAsW (meta-GGA SCAN)

Data for a PBEsol-optimized structure of Li2FeAsW.

- Calculated formation energy: 6.61 eV per formula unit

Lattice parameters (Å, degrees): 4.7016 4.7394 4.7394 90.00 90.00 90.00
Last column: nearest neighbours and their distance in Å.
Atoms (fractional coordinates):
As 0.5000 0.0000 0.0000  2 W 2.35
Fe 0.5000 0.5000 0.5000  8 Li 3.34, 4 As 3.35
W 0.0000 0.0000 0.0000  2 As 2.35, 4 Li 2.37
Li 0.0000 0.0000 0.5000  2 W 2.37
Li 0.0000 0.5000 0.0000  2 W 2.37

No. 6
## Ag2PbS2 (meta-GGA SCAN)

Data for a PBEsol-optimized structure of Ag2PbS2.

- ΔE_f (raw): -0.16 eV/atom

Lattice parameters (Å, degrees): 3.8578 3.8578 7.3027 105.32 105.32 90.00
Last column: nearest neighbours and their distance in Å.
Atoms (fractional coordinates):
Pb 0.0000 0.0000 0.0000  8 S 3.15
S 0.3839 0.3839 0.7677  4 Ag 2.65
S 0.6161 0.6161 0.2323  4 Ag 2.65
Ag 0.2500 0.7500 0.5000  4 S 2.65, 4 Ag 2.73
Ag 0.7500 0.2500 0.5000  4 S 2.65, 4 Ag 2.73

No. 7
## Mn2CdO4 (meta-GGA SCAN)

Data for a PBEsol-optimized structure of Mn2CdO4.

- ΔE_f (raw): -1.91 eV/atom

Lattice parameters (Å, degrees): 5.8114 6.4128 5.8114 63.06 90.00 116.94
Last column: nearest neighbours and their distance in Å.
Atoms (fractional coordinates):
Mn 0.3750 0.2500 0.8750  4 O 1.93
Mn 0.8750 0.7500 0.8750  4 O 1.93
Mn 0.8750 0.7500 0.3750  4 O 1.93
Mn 0.8750 0.2500 0.8750  4 O 1.93
Cd 0.2500 0.5000 0.2500  4 O 2.16
Cd 0.5000 0.0000 0.5000  4 O 2.16
O 0.6419 0.2838 0.6418  2 Mn 1.93
O 0.1082 0.7838 0.1081  2 Mn 1.93
O 0.6419 0.2838 0.0744  2 Mn 1.93
O 0.1081 0.2162 0.1082  2 Mn 1.93
O 0.6418 0.7162 0.6419  2 Mn 1.93
O 0.0744 0.7162 0.6419  2 Mn 1.93
O 0.6756 0.7838 0.1081  2 Mn 1.93
O 0.1081 0.2162 0.6756  2 Mn 1.93

No. 8
## KLiMn (meta-GGA SCAN)

Data for a PBEsol-optimized structure of KLiMn.

- Calculated formation energy: 2.13 eV per formula unit

Lattice parameters (Å, degrees): 5.3443 5.3443 5.3443 60.00 60.00 60.00
Last column: nearest neighbours and their distance in Å.
Atoms (fractional coordinates):
K 0.0000 0.0000 0.0000  4 Mn 3.27
Li 0.5000 0.5000 0.5000  4 Mn 3.27
Mn 0.2500 0.2500 0.2500  4 Li 3.27, 4 K 3.27

No. 9
## YMn2IO (meta-GGA SCAN)

Data for a PBEsol-optimized structure of YMn2IO.

- ΔE_f (raw): 1.06 eV/atom

Lattice parameters (Å, degrees): 5.6448 5.5016 5.5016 90.00 90.00 90.00
Last column: nearest neighbours and their distance in Å.
Atoms (fractional coordinates):
I 0.5000 0.0000 0.0000  2 Y 2.82
Y 0.0000 0.0000 0.0000  4 Mn 2.75, 2 I 2.82
Mn 0.0000 0.0000 0.5000  2 Y 2.75
Mn 0.0000 0.5000 0.0000  2 Y 2.75
O 0.5000 0.5000 0.5000  4 I 3.89, 8 Mn 3.94

No. 10
## MnIr2W (meta-GGA SCAN)

Data for a PBEsol-optimized structure of MnIr2W.

- Energy above the most stable polymorph in this dataset: 0.31 eV per formula unit
- Calculated formation energy: -1.29 eV per formula unit

Lattice parameters (Å, degrees): 2.7079 4.2781 4.6973 90.00 90.00 90.00
Last column: nearest neighbours and their distance in Å.
Atoms (fractional coordinates):
Mn 0.5000 0.0000 0.5476  8 Ir 2.62-2.74, 2 W 2.64, 2 Mn 2.71
W 0.5000 0.5000 0.2167  8 Ir 2.62-2.80, 2 Mn 2.64, 2 W 2.71
Ir 0.0000 0.0000 0.0409  4 W 2.66, 4 Mn 2.68-2.74, 4 Ir 2.69-2.71
Ir 0.0000 0.5000 0.6948  4 W 2.62-2.80, 4 Mn 2.62, 4 Ir 2.69-2.71

No. 11
## TiNb2Si2 (meta-GGA SCAN)

Data for a PBEsol-optimized structure of TiNb2Si2.

- ΔE_f (raw): -0.78 eV/atom

Lattice parameters (Å, degrees): 3.4715 6.6418 6.6418 90.00 90.00 90.00
Last column: nearest neighbours and their distance in Å.
Atoms (fractional coordinates):
Nb 0.5000 0.1721 0.6721  6 Si 2.56-2.66
Nb 0.5000 0.6721 0.8279  6 Si 2.56-2.66
Nb 0.5000 0.8279 0.3279  6 Si 2.56-2.66
Nb 0.5000 0.3279 0.1721  6 Si 2.56-2.66
Si 0.0000 0.3722 0.8722  1 Si 2.40, 6 Nb 2.56-2.66, 2 Ti 2.61
Si 0.0000 0.8722 0.6278  1 Si 2.40, 6 Nb 2.56-2.66, 2 Ti 2.61
Si 0.0000 0.6278 0.1278  1 Si 2.40, 6 Nb 2.56-2.66, 2 Ti 2.61
Si 0.0000 0.1278 0.3722  1 Si 2.40, 6 Nb 2.56-2.66, 2 Ti 2.61
Ti 0.0000 0.0000 0.0000  4 Si 2.61
Ti 0.0000 0.5000 0.5000  4 Si 2.61

No. 12
## ZrZnPO2 (meta-GGA SCAN)

Data for a PBEsol-optimized structure of ZrZnPO2.

- ΔE_f (raw): -0.75 eV/atom
- Energy above the most stable polymorph in this dataset: 3.19 eV per formula unit

Lattice parameters (Å, degrees): 3.8236 3.8236 4.5301 90.00 90.00 90.00
Last column: nearest neighbours and their distance in Å.
Atoms (fractional coordinates):
P 0.0000 0.0000 0.5000  2 Zn 2.27
Zn 0.0000 0.0000 0.0000  4 O 1.91
O 0.0000 0.5000 0.0000  2 Zn 1.91
O 0.5000 0.0000 0.0000  2 Zn 1.91
Zr 0.5000 0.5000 0.5000  4 P 2.70, 8 O 2.96

No. 13
## Ag2BiPtPb (meta-GGA SCAN)

Data for a PBEsol-optimized structure of Ag2BiPtPb.

- Calculated formation energy: 5.50 eV per formula unit

Lattice parameters (Å, degrees): 5.0780 5.0780 5.9119 90.00 90.00 90.00
Last column: nearest neighbours and their distance in Å.
Atoms (fractional coordinates):
Pb 0.0000 0.0000 0.5000  2 Bi 2.96
Ag 0.0000 0.5000 0.0000  2 Bi 2.54
Ag 0.5000 0.0000 0.0000  2 Bi 2.54
Bi 0.0000 0.0000 0.0000  4 Ag 2.54
Pt 0.5000 0.5000 0.5000  4 Pb 3.59, 8 Ag 3.90

No. 14
## MgCrTe2 (meta-GGA SCAN)

Data for a PBEsol-optimized structure of MgCrTe2.

- ΔE_f (raw): 0.19 eV/atom

Lattice parameters (Å, degrees): 5.1041 5.1041 5.1041 60.00 60.00 60.00
Last column: nearest neighbours and their distance in Å.
Atoms (fractional coordinates):
Cr 0.5000 0.5000 0.5000  4 Mg 3.13, 4 Te 3.13
Mg 0.7500 0.7500 0.7500  4 Cr 3.13, 4 Te 3.13
Te 0.0000 0.0000 0.0000  4 Te 3.13, 4 Mg 3.13
Te 0.2500 0.2500 0.2500  4 Te 3.13, 4 Cr 3.13

Which uncorrected energy belongs to each record? In order, -30.41; -37.98; -13.85; -16.54; -21.24; -31.71; -15.04; -8.95; -20.40; -57.86; -21.25; -14.17; -56.36; -24.27 eV per atom.
Which total moment belongs to each record? In order, 1.62; 0.01; 0.03; 0.00; 5.84; 0.00; 16.00; 4.89; 10.10; 2.41; 0.00; 0.00; 0.56; 4.20 Bohr magnetons per cell.